An optimized crystal structure of Pm12MgNi6. Source: Alexandria via LeMat-Bulk, functional PBE-GGA.

a b c (Å): 10.0185 10.0185 10.0185
angles (deg): 90.00 90.00 90.00
With the nearest neighbours (Å) after each atom.
Space group Im-3 (No. 204)
Unique sites:
Pm: 0.0000 0.1865 0.3077 (multiplicity 24)  3 Ni 2.73-2.95
Mg: 0.0000 0.0000 0.0000 (multiplicity 2)  12 Pm 3.60
Ni: 0.0000 0.3790 0.5000 (multiplicity 12)  1 Ni 2.42

## Properties
Crystal system ... cubic
Calculated formation energy ... -235 meV/atom

---

An optimized crystal structure of PmMg9Ni3. Source: Alexandria via LeMat-Bulk, functional PBE-GGA.

a b c (Å): 5.4459 14.0051 7.0232
angles (deg): 90.00 110.30 90.00
With the nearest neighbours (Å) after each atom.
Space group C2/m (No. 12)
Unique sites:
Pm: 0.0000 0.0000 0.0000 (multiplicity 2)  14 Mg 3.29-3.51, 2 Ni 3.62
Mg: 0.0000 0.0000 0.5000 (multiplicity 2)  2 Ni 2.72, 8 Mg 2.91-3.04
Mg: 0.0869 0.3869 0.2145 (multiplicity 8)  3 Ni 2.72-2.77, 5 Mg 2.83-3.04
Mg: 0.1507 0.1794 0.3221 (multiplicity 8)  2 Ni 2.69-2.73, 2 Mg 2.88-2.99
Ni: 0.0000 0.5000 0.5000 (multiplicity 2)  6 Mg 2.72
Ni: 0.2500 0.2500 0.0000 (multiplicity 4)  8 Mg 2.69-2.77, 2 Ni 2.72

## Properties
Crystal system ... monoclinic
Calculated formation energy ... -110 meV/atom

---

An optimized crystal structure of Pm3MgNi2. Source: Alexandria via LeMat-Bulk, functional PBE-GGA.

a b c (Å): 6.5152 13.1221 7.1585
angles (deg): 90.00 90.00 90.00
With the nearest neighbours (Å) after each atom.
Space group Ibam (No. 72)
Unique sites:
Pm: 0.0000 0.0000 0.2500 (multiplicity 4)  4 Ni 2.88
Pm: 0.0000 0.2811 0.2500 (multiplicity 8)  4 Ni 2.83-2.91
Mg: 0.0000 0.5000 0.0000 (multiplicity 4)  2 Ni 2.64
Ni: 0.2047 0.1383 0.0000 (multiplicity 8)  1 Mg 2.64, 6 Pm 2.83-2.91

## Properties
Crystal system ... orthorhombic
Calculated formation energy ... -166 meV/atom

---

An optimized crystal structure of Pm2MgNi2. Source: Alexandria via LeMat-Bulk, functional PBE-GGA.

a b c (Å): 7.4590 7.4590 3.8664
angles (deg): 90.00 90.00 90.00
With the nearest neighbours (Å) after each atom.
Space group P4/mbm (No. 127)
Unique sites:
Pm: 0.1743 0.3257 0.0000 (multiplicity 4)  6 Ni 2.91-2.95
Mg: 0.0000 0.0000 0.5000 (multiplicity 2)  4 Ni 2.98
Ni: 0.1191 0.6191 0.5000 (multiplicity 4)  1 Ni 2.51

## Properties
Crystal system ... tetragonal
Calculated formation energy ... -321 meV/atom

---

An optimized crystal structure of PmMg4Ni4. Source: Alexandria via LeMat-Bulk, functional PBE-GGA.

a b c (Å): 8.2549 8.2549 5.1018
angles (deg): 90.00 90.00 90.00
With the nearest neighbours (Å) after each atom.
Space group P4_2/n (No. 86, origin choice 2)
Unique sites:
Pm: 0.2500 0.2500 0.2500 (multiplicity 2)  4 Ni 2.79
Mg: 0.0933 0.6444 0.1395 (multiplicity 8)  5 Ni 2.57-2.66
Ni: 0.0447 0.5999 0.6409 (multiplicity 8)  1 Ni 2.31, 2 Mg 2.57

## Properties
Crystal system ... tetragonal
Calculated formation energy ... 27 meV/atom

---

An optimized crystal structure of PmMg5Ni2. Source: Alexandria via LeMat-Bulk, functional PBE-GGA.

a b c (Å): 4.0954 8.1297 9.8021
angles (deg): 90.00 90.00 90.00
With the nearest neighbours (Å) after each atom.
Space group Immm (No. 71)
Unique sites:
Pm: 0.0000 0.0000 0.0000 (multiplicity 2)  4 Ni 3.03
Mg: 0.0000 0.1850 0.3376 (multiplicity 8)  3 Ni 2.64-2.76, 2 Mg 2.87
Mg: 0.0000 0.5000 0.0000 (multiplicity 2)  2 Ni 2.66
Ni: 0.0000 0.5000 0.2715 (multiplicity 4)  7 Mg 2.64-2.76

## Properties
Crystal system ... orthorhombic
Calculated formation energy ... -144 meV/atom